Entry from Alexandria: a relaxed structure of KLiHfS3 (PBE).

```
12
Lattice="8.6137 0.0000 0.0000 0.0000 3.8065 0.0000 -2.9887 0.0000 8.5384" Properties=species:S:1:pos:R:3 pbc="T T T"
K 1.1078 0.9516 2.1916
K 4.5172 2.8549 6.3468
Li -1.1369 0.9516 5.1219
Li 6.7619 2.8549 3.4166
Hf 0.2672 2.8549 7.1917
Hf 5.3578 0.9516 1.3467
S -1.4321 0.9516 7.4601
S 0.2096 2.8549 4.7296
S 3.5748 2.8549 1.2808
S 2.0502 0.9516 7.2576
S 5.4154 0.9516 3.8088
S 7.0571 2.8549 1.0783
```

Properties
calculated volume: 23.3 A^3/atom
density: 3.80 g cm⁻³
raw formation energy: -1509 meV/atom
D(E_F): 0.000 states/eV per atom